A plane-wave DFT calculation with PBE-GGA was carried out for a geometry-optimized YZrU2P4 structure.

The structure belongs to space group P2/m (No. 10); the cell edges are 6.727, 3.880 and 6.806 Å and the angles 90.00°, 109.12° and 90.00°. The distinct sites, in fractional coordinates, are Y at (0.000, 0.000, 0.000), Zr at (0.500, 0.500, 0.000), U at (0.000, 0.500, 0.500), U at (0.500, 0.000, 0.500), P at (0.257, 0.500, 0.249) and P at (0.259, 0.000, 0.755).

The calculation puts the energy of formation at -1.2476 eV/atom. Its density of states at the Fermi level is 1.2238 states/eV/atom. The calculation puts the density at 7.717 g/cm3.



A plane-wave DFT calculation with PBE-GGA was carried out for a geometry-optimized U2ZnP structure.

The structure belongs to space group R-3m (No. 166, hexagonal axes); the cell edges are 3.3364, 3.3364 and 29.8626 Å and the angles 90.00°, 90.00° and 120.00°. The distinct sites, in fractional coordinates, are U at (0.0000, 0.0000, 0.1048), Zn at (0.0000, 0.0000, 0.0000) and P at (0.0000, 0.0000, 0.5000).

The calculation puts the energy of formation at 0.1786 eV/atom. Its density of states at the Fermi level is 1.9249 states/eV/atom. The calculation puts the density at 9.906 g/cm3.



A plane-wave DFT calculation with PBE-GGA was carried out for a geometry-optimized ZrU5P6 structure.

The structure belongs to space group C2/m (No. 12); the cell edges are 6.768, 11.720 and 6.733 Å and the angles 90.00°, 109.58° and 90.00°. The distinct sites, in fractional coordinates, are Zr at (0.000, 0.000, 0.000), U at (0.000, 0.169, 0.500), U at (0.000, 0.334, 0.000), U at (0.000, 0.500, 0.500), P at (0.244, 0.000, 0.752) and P at (0.245, 0.164, 0.244).

The calculation puts the energy of formation at -1.0530 eV/atom. Its density of states at the Fermi level is 2.2594 states/eV/atom. The calculation puts the density at 9.683 g/cm3.



A plane-wave DFT calculation with PBE-GGA was carried out for a geometry-optimized ZrUP structure.

The structure belongs to space group P4/nmm (No. 129, origin choice 2); the cell edges are 3.746, 3.746 and 7.873 Å and the angles 90.00°, 90.00° and 90.00°. The distinct sites, in fractional coordinates, are Zr at (0.250, 0.250, 0.135), U at (0.250, 0.750, 0.500) and P at (0.250, 0.250, 0.787).

The calculation puts the energy of formation at -0.9505 eV/atom. Its density of states at the Fermi level is 1.0979 states/eV/atom. The calculation puts the density at 10.831 g/cm3.



Which value of density does entry 3 give? 9.683 g/cm3



Among the records above, which one has the highest energy of formation? U2ZnP



Which formula does entry 3 have? ZrU5P6



Which of these has the highest density? ZrUP